RbReAgTeSe2, relaxed, DFT PBE-GGA; total magnetic moment = 4.7 Bohr magnetons per cell; E_tot = -4.52 eV/atom; calculated density = 6.6 g cm⁻³; SG = No. 63
1.0
1.9196 -8.2122 0.0000
1.9196 8.2122 0.0000
0.0000 0.0000 10.5645
Rb Ag Se Re Te
2 2 4 2 2
Direct
0.7360 0.2640 0.2500
0.2640 0.7360 0.7500
0.9475 0.0525 0.7500
0.0525 0.9475 0.2500
0.1069 0.8931 0.4764
0.1069 0.8931 0.0236
0.8931 0.1069 0.9764
0.8931 0.1069 0.5236
0.5000 0.5000 0.0000
0.5000 0.5000 0.5000
0.5705 0.4295 0.7500
0.4295 0.5705 0.2500

=====

RbReAgTe3, relaxed, DFT PBE-GGA; total magnetic moment = 4.6 Bohr magnetons per cell; E_tot = -4.29 eV/atom; calculated density = 7.0 g cm⁻³; SG = No. 63
1.0
-5.7421 -5.1769 -3.5327
-6.2630 -5.7305 0.4344
-7.3108 8.0021 0.1567
Rb Re Te Ag
2 2 6 2
Direct
0.2376 0.2376 0.7500
0.7624 0.7624 0.2500
0.0000 0.0000 0.5000
0.0000 0.0000 0.0000
0.9340 0.9340 0.7500
0.0660 0.0660 0.2500
0.3850 0.3850 0.0209
0.6150 0.6150 0.5209
0.3850 0.3850 0.4791
0.6150 0.6150 0.9791
0.5490 0.5490 0.7500
0.4510 0.4510 0.2500

=====

RbAg3S2, relaxed, DFT PBE-GGA; E_tot = -3.24 eV/atom; calculated density = 4.9 g cm⁻³; SG = No. 12
1.0
0.0000 -4.3326 0.0000
-10.6149 2.1663 -0.1557
4.8042 0.0000 -6.9071
Ag S Rb
6 4 2
Direct
0.0118 0.0236 0.1871
0.5873 0.1746 0.4424
0.0843 0.1687 0.6811
0.4127 0.8254 0.5576
0.9157 0.8313 0.3189
0.9882 0.9764 0.8129
0.1608 0.3216 0.5398
0.8392 0.6784 0.4602
0.5643 0.1287 0.8527
0.4357 0.8713 0.1473
0.8020 0.6041 0.7959
0.1980 0.3959 0.2041

=====

Rb2AgS2, relaxed, DFT PBE-GGA; E_tot = -3.25 eV/atom; calculated density = 3.7 g cm⁻³; SG = No. 12
1.0
-0.5374 3.5533 1.5423
6.1905 -0.9366 -0.6435
1.3057 2.8200 -6.0409
Ag Rb S
1 2 2
Direct
0.5000 0.0000 0.0000
0.8368 0.6736 0.7104
0.1632 0.3264 0.2896
0.8931 0.7862 0.2025
0.1069 0.2138 0.7975